No. 1
The following is a PBE calculation of a relaxed PrAsN2O crystal, from the Open Quantum Materials Database.

Structure (CIF):
```
data_PrAsN2O
_cell_length_a 5.389
_cell_length_b 8.117
_cell_length_c 5.399
_cell_angle_alpha 90.00
_cell_angle_beta 90.00
_cell_angle_gamma 90.00
_space_group_name_H-M_alt 'P n m a'
_space_group_IT_number 62
loop_
_space_group_symop_operation_xyz
'x,y,z'
'-x,-y,-z'
'-x+1/2,-y,z+1/2'
'x+1/2,y,-z+1/2'
'x+1/2,-y+1/2,-z+1/2'
'-x+1/2,y+1/2,z+1/2'
'-x,y+1/2,-z'
'x,-y+1/2,z'
loop_
_atom_site_label
_atom_site_type_symbol
_atom_site_fract_x
_atom_site_fract_y
_atom_site_fract_z
Pr1 Pr 0.037 0.250 0.009
As1 As 0.000 0.000 0.500
N1 N 0.211 0.531 0.787
O1 O 0.003 0.250 0.559
```

## Properties
The density is 7.307 Mg/m³. The total energy comes out at -6.94 eV per atom.

---

No. 2
The following is a PBE calculation of a relaxed PrAsN2O crystal, from the Open Quantum Materials Database.

Structure (CIF):
```
data_PrAsN2O
_cell_length_a 5.473
_cell_length_b 7.053
_cell_length_c 6.593
_cell_angle_alpha 90.00
_cell_angle_beta 90.75
_cell_angle_gamma 90.00
_space_group_name_H-M_alt 'P 1 21/m 1'
_space_group_IT_number 11
loop_
_space_group_symop_operation_xyz
'x,y,z'
'-x,-y,-z'
'-x,y+1/2,-z'
'x,-y+1/2,z'
loop_
_atom_site_label
_atom_site_type_symbol
_atom_site_fract_x
_atom_site_fract_y
_atom_site_fract_z
Pr1 Pr 0.250 0.004 0.161
As1 As 0.228 0.250 0.705
As2 As 0.281 0.750 0.623
N1 N 0.105 0.750 0.393
N2 N 0.237 0.536 0.773
N3 N 0.388 0.250 0.444
O1 O 0.042 0.250 0.957
O2 O 0.489 0.250 0.909
```

## Properties
The density is 6.782 Mg/m³. The total energy comes out at -7.09 eV per atom.

---

No. 3
The following is a PBE calculation of a relaxed PrAsN2O crystal, from the Open Quantum Materials Database.

Structure (CIF):
```
data_PrAsN2O
_cell_length_a 5.388
_cell_length_b 8.108
_cell_length_c 5.399
_cell_angle_alpha 90.00
_cell_angle_beta 90.00
_cell_angle_gamma 90.00
_space_group_name_H-M_alt 'P n m a'
_space_group_IT_number 62
loop_
_space_group_symop_operation_xyz
'x,y,z'
'-x,-y,-z'
'-x+1/2,-y,z+1/2'
'x+1/2,y,-z+1/2'
'x+1/2,-y+1/2,-z+1/2'
'-x+1/2,y+1/2,z+1/2'
'-x,y+1/2,-z'
'x,-y+1/2,z'
loop_
_atom_site_label
_atom_site_type_symbol
_atom_site_fract_x
_atom_site_fract_y
_atom_site_fract_z
Pr1 Pr 0.036 0.250 0.009
As1 As 0.000 0.000 0.500
N1 N 0.212 0.531 0.787
O1 O 0.004 0.250 0.559
```

## Properties
The density is 7.317 Mg/m³. The total energy comes out at -6.94 eV per atom.

---

No. 4
The following is a PBE calculation of a relaxed PrAsN2O crystal, from the Open Quantum Materials Database.

Structure (CIF):
```
data_PrAsN2O
_cell_length_a 5.466
_cell_length_b 5.508
_cell_length_c 9.543
_cell_angle_alpha 73.29
_cell_angle_beta 76.63
_cell_angle_gamma 61.02
_space_group_name_H-M_alt 'P 1'
_space_group_IT_number 1
loop_
_space_group_symop_operation_xyz
'x,y,z'
loop_
_atom_site_label
_atom_site_type_symbol
_atom_site_fract_x
_atom_site_fract_y
_atom_site_fract_z
Pr1 Pr 0.000 0.000 0.000
Pr2 Pr 0.212 0.279 0.265
Pr3 Pr 0.488 0.536 0.503
Pr4 Pr 0.762 0.771 0.742
As1 As 0.145 0.170 0.621
As2 As 0.371 0.354 0.900
As3 As 0.648 0.615 0.113
As4 As 0.826 0.914 0.365
N1 N 0.242 0.356 0.724
N2 N 0.421 0.499 0.045
N3 N 0.487 0.980 0.510
N4 N 0.504 0.965 0.967
N5 N 0.685 0.322 0.290
N6 N 0.713 0.840 0.218
N7 N 0.986 0.524 0.481
N8 N 0.989 0.452 0.001
O1 O 0.181 0.851 0.273
O2 O 0.200 0.855 0.771
O3 O 0.698 0.345 0.780
O4 O 0.945 0.053 0.543
```

## Properties
The density is 7.214 Mg/m³. The total energy comes out at -6.97 eV per atom.

---

No. 5
The following is a PBE calculation of a relaxed PrAsN2O crystal, from the Open Quantum Materials Database.

Structure (CIF):
```
data_PrAsN2O
_cell_length_a 7.453
_cell_length_b 5.879
_cell_length_c 5.695
_cell_angle_alpha 90.00
_cell_angle_beta 90.00
_cell_angle_gamma 90.00
_space_group_name_H-M_alt 'P m c 21'
_space_group_IT_number 26
loop_
_space_group_symop_operation_xyz
'x,y,z'
'-x,-y,z+1/2'
'-x,y,z'
'x,-y,z+1/2'
loop_
_atom_site_label
_atom_site_type_symbol
_atom_site_fract_x
_atom_site_fract_y
_atom_site_fract_z
Pr1 Pr 0.000 0.193 0.000
Pr2 Pr 0.500 0.205 0.932
As1 As 0.247 0.326 0.455
N1 N 0.000 0.205 0.445
N2 N 0.210 0.421 0.775
N3 N 0.500 0.351 0.536
O1 O 0.288 0.084 0.243
```

## Properties
The density is 6.916 Mg/m³. The total energy comes out at -7.01 eV per atom.

---

No. 6
The following is a PBE calculation of a relaxed PrAsN2O crystal, from the Open Quantum Materials Database.

Structure (CIF):
```
data_PrAsN2O
_cell_length_a 6.6066
_cell_length_b 6.6066
_cell_length_c 11.4191
_cell_angle_alpha 90.00
_cell_angle_beta 90.00
_cell_angle_gamma 120.00
_space_group_name_H-M_alt 'P 63 c m'
_space_group_IT_number 185
_space_group_name_Hall 'P 6c -2'
loop_
_atom_site_label
_atom_site_type_symbol
_atom_site_fract_x
_atom_site_fract_y
_atom_site_fract_z
Pr1 Pr 0.0000 0.0000 0.0000
Pr2 Pr 0.3333 0.6667 0.4718
As1 As 0.0000 0.3340 0.2330
N1 N 0.0000 0.3170 0.3845
N2 N 0.0000 0.3494 0.0819
O1 O 0.0000 0.0000 0.2181
O2 O 0.3333 0.6667 0.2443
```

## Properties
The density is 5.998 Mg/m³. The total energy comes out at -6.86 eV per atom.

---

No. 7
The following is a PBE calculation of a relaxed PrAsN2O crystal, from the Open Quantum Materials Database.

Structure (CIF):
```
data_PrAsN2O
_cell_length_a 3.842
_cell_length_b 3.842
_cell_length_c 3.920
_cell_angle_alpha 90.00
_cell_angle_beta 90.00
_cell_angle_gamma 90.00
_space_group_name_H-M_alt 'P 4/m m m'
_space_group_IT_number 123
_space_group_name_Hall '-P 4 2'
loop_
_atom_site_label
_atom_site_type_symbol
_atom_site_fract_x
_atom_site_fract_y
_atom_site_fract_z
Pr1 Pr 0.000 0.000 0.000
As1 As 0.500 0.500 0.500
N1 N 0.000 0.500 0.500
O1 O 0.500 0.500 0.000
```

## Properties
The density is 7.457 Mg/m³. The total energy comes out at -6.89 eV per atom.

---

No. 8
The following is a PBE calculation of a relaxed PrAsN2O crystal, from the Open Quantum Materials Database.

Structure (CIF):
```
data_PrAsN2O
_cell_length_a 5.509
_cell_length_b 3.762
_cell_length_c 5.557
_cell_angle_alpha 90.00
_cell_angle_beta 90.00
_cell_angle_gamma 90.00
_space_group_name_H-M_alt 'P m m a'
_space_group_IT_number 51
loop_
_space_group_symop_operation_xyz
'x,y,z'
'-x,-y,-z'
'-x+1/2,-y,z'
'x+1/2,y,-z'
'x+1/2,-y,-z'
'-x+1/2,y,z'
'-x,y,-z'
'x,-y,z'
loop_
_atom_site_label
_atom_site_type_symbol
_atom_site_fract_x
_atom_site_fract_y
_atom_site_fract_z
Pr1 Pr 0.250 0.000 0.238
As1 As 0.250 0.500 0.726
N1 N 0.000 0.500 0.500
N2 N 0.250 0.000 0.785
O1 O 0.000 0.500 0.000
```

## Properties
The density is 7.492 Mg/m³. The total energy comes out at -6.90 eV per atom.